Entry 1:
{
  "formula": "ZnAg2Hg",
  "functional": "PBE",
  "state": "optimized geometry",
  "cell": [[2.9858, 0.0000, 0.0000], [0.0000, 4.3709, 0.0000], [-1.1007, 0.0000, 5.6288]],
  "species": ["Zn", "Ag", "Ag", "Hg"],
  "frac_coords": [[0.0000, 0.0000, 0.0000], [0.4000, 0.5000, 0.2329], [0.6000, 0.5000, 0.7671], [0.0000, 0.0000, 0.5000]],
  "rho_kg_m3": 10889,
  "dos_at_fermi_per_ev_atom": 0.1965,
  "de_polymorph_mev_per_atom": 25
}

Entry 2:
{
  "formula": "ZnAgHg",
  "functional": "PBE",
  "state": "optimized geometry",
  "cell": [[7.5979, 0.0000, 0.0000], [0.0000, 7.5967, 0.0000], [-3.3969, 0.0000, 3.9459]],
  "species": ["Zn", "Zn", "Zn", "Zn", "Ag", "Ag", "Ag", "Ag", "Hg", "Hg", "Hg", "Hg"],
  "frac_coords": [[0.0000, 0.0025, 0.0000], [0.0000, 0.9975, 0.5000], [0.5000, 0.4975, 0.5000], [0.5000, 0.5025, 0.0000], [0.2989, 0.2191, 0.5512], [0.2989, 0.7809, 0.0512], [0.7989, 0.2809, 0.0512], [0.7989, 0.7191, 0.5512], [0.0516, 0.3675, 0.8012], [0.0516, 0.6325, 0.3012], [0.5516, 0.1325, 0.3012], [0.5516, 0.8675, 0.8012]],
  "rho_kg_m3": 10903,
  "dos_at_fermi_per_ev_atom": 0.2194,
  "de_polymorph_mev_per_atom": 0
}

Entry 3:
{
  "formula": "Zn6AgHg",
  "functional": "PBE",
  "state": "optimized geometry",
  "cell": [[4.7089, 0.0000, 0.0000], [0.0000, 5.7686, 0.0000], [0.0000, 0.0000, 4.8169]],
  "species": ["Zn", "Zn", "Zn", "Zn", "Zn", "Zn", "Ag", "Hg"],
  "frac_coords": [[0.0000, 0.0000, 0.0000], [0.0000, 0.2351, 0.5081], [0.0000, 0.7649, 0.5081], [0.5000, 0.2410, 0.8271], [0.5000, 0.5000, 0.3633], [0.5000, 0.7590, 0.8271], [0.5000, 0.0000, 0.3212], [0.0000, 0.5000, 0.0117]],
  "rho_kg_m3": 8895,
  "dos_at_fermi_per_ev_atom": 0.2449
}

Entry 4:
{
  "formula": "Zn3AgHg",
  "functional": "PBE",
  "state": "optimized geometry",
  "cell": [[4.9998, 0.0000, 0.0000], [0.0000, 4.9998, 0.0000], [0.0000, 0.0000, 4.9998]],
  "species": ["Zn", "Zn", "Zn", "Ag", "Hg"],
  "frac_coords": [[0.0000, 0.0000, 0.5000], [0.0000, 0.5000, 0.0000], [0.5000, 0.0000, 0.0000], [0.0000, 0.0000, 0.0000], [0.5000, 0.5000, 0.5000]],
  "rho_kg_m3": 6705,
  "dos_at_fermi_per_ev_atom": 0.3076,
  "de_polymorph_mev_per_atom": 0
}

Entry 5:
{
  "formula": "ZnAgHg4",
  "functional": "PBE",
  "state": "optimized geometry",
  "cell": [[0.0000, 4.2276, 4.2276], [4.2276, 0.0000, 4.2276], [4.2276, 4.2276, 0.0000]],
  "species": ["Zn", "Ag", "Hg", "Hg", "Hg", "Hg"],
  "frac_coords": [[0.0000, 0.0000, 0.0000], [0.7500, 0.7500, 0.7500], [0.3752, 0.3752, 0.3752], [0.3752, 0.3752, 0.8743], [0.3752, 0.8743, 0.3752], [0.8743, 0.3752, 0.3752]],
  "rho_kg_m3": 10721,
  "dos_at_fermi_per_ev_atom": 0.6218
}

Entry 6:
{
  "formula": "ZnAg2Hg",
  "functional": "PBE",
  "state": "optimized geometry",
  "cell": [[4.1141, 0.0000, 0.0000], [0.0000, 4.1141, 0.0000], [0.0000, 0.0000, 8.6478]],
  "species": ["Zn", "Zn", "Ag", "Ag", "Ag", "Ag", "Hg", "Hg"],
  "frac_coords": [[0.0000, 0.0000, 0.0000], [0.5000, 0.5000, 0.5000], [0.0000, 0.0000, 0.5000], [0.0000, 0.5000, 0.7500], [0.5000, 0.0000, 0.2500], [0.5000, 0.5000, 0.0000], [0.0000, 0.5000, 0.2500], [0.5000, 0.0000, 0.7500]],
  "rho_kg_m3": 10930,
  "dos_at_fermi_per_ev_atom": 0.1650,
  "de_polymorph_mev_per_atom": 11
}

Number 1: total energy -1.7624 eV per atom, energy of formation 0.06 eV/atom, magnetic moment 0.00 μB per cell. Number 2: total energy -1.4313 eV per atom, energy of formation 0.04 eV/atom, magnetic moment 0.00 μB per cell. Number 3: total energy -1.3138 eV per atom, energy of formation 0.04 eV/atom, magnetic moment 0.00 μB per cell. Number 4: total energy -1.0958 eV per atom, energy of formation 0.30 eV/atom, magnetic moment 0.00 μB per cell. Number 5: total energy -0.5561 eV per atom, energy of formation 0.33 eV/atom, magnetic moment 0.00 μB per cell. Number 6: total energy -1.7771 eV per atom, energy of formation 0.04 eV/atom, magnetic moment 0.00 μB per cell.